Computed, not measured: crystalline Sm2Y7Tm12 at its relaxed geometry at the GGA-PBE level of DFT.

a = 12.0455 Å, b = 12.0455 Å, c = 5.5040 Å
α = 90.00°, β = 90.00°, γ = 120.00°
Closest atoms and distances in Å follow each position.
Space group P-6 (No. 174)
Symmetry-distinct sites (fractional):
Sm  0.0000  0.0000  0.0000  6 Y 3.46, 6 Tm 3.49-3.68
Sm  0.3333  0.6667  0.5000  9 Tm 3.99-4.28, 6 Y 4.31
Y  0.0035  0.8275  0.5000  7 Tm 3.42-3.56, 2 Sm 3.46, 2 Y 3.64
Y  0.0150  0.5171  0.0000  8 Tm 3.25-3.57, 1 Y 3.64
Y  0.6667  0.3333  0.0000  9 Tm 3.39-3.47, 3 Y 3.64
Tm  0.1719  0.3524  0.0000  4 Y 3.25-3.48, 3 Tm 3.40-3.43
Tm  0.3344  0.1567  0.0000  6 Tm 3.35-3.74, 5 Y 3.45-3.57, 1 Sm 3.49
Tm  0.3385  0.0005  0.5000  6 Tm 3.35-3.46, 4 Y 3.44-3.56
Tm  0.4999  0.3295  0.5000  5 Y 3.39-3.48, 6 Tm 3.43-3.46

DFT formation energy: 180 meV per atom
Electronic total energy: -0.3659 Ry per atom